Ce2GaGe3Au4 GGA-PBE optimized geometry; spin magnetization = 0.154 μB per atom; E_form = -0.54 eV per atom
1.0
-0.026 1.920 -3.980
-4.046 -1.611 -0.751
-4.311 8.826 4.286
Ce Ge Ga Au
2 3 1 4
Cartesian
-1.064 3.113 -0.945 Ce
-5.282 5.868 2.865 Ce
-2.155 4.413 2.143 Ge
-3.739 8.590 1.715 Ge
-2.607 0.391 0.205 Ge
-4.191 4.568 -0.223 Ga
-2.036 0.155 -2.366 Au
0.000 0.000 0.000 Au
-3.610 2.445 1.203 Au
-2.736 6.536 0.718 Au

=====

KIrRu GGA-PBE optimized geometry; spin magnetization = 0.000 μB per atom; E_form = 0.79 eV per atom; energy above the most stable polymorph in this dataset = 33.4 kJ per mole of atoms
1.0
5.526 0.003 0.009
-2.676 4.897 -0.017
2.580 1.846 4.592
K Ru Ir
2 2 2
Cartesian
2.938 4.582 1.767 K
2.817 1.374 2.914 K
0.144 4.899 0.131 Ru
6.795 3.643 4.335 Ru
0.213 3.153 2.036 Ir
1.235 2.024 0.122 Ir

=====

Ac8TlIr2 GGA-PBE optimized geometry; spin magnetization = 0.000 μB per atom; E_form = -0.27 eV per atom
1.0
-5.309 -2.818 1.384
3.769 -6.695 -4.003
2.663 1.348 8.133
Ac Ir Tl
8 2 1
Cartesian
0.767 -0.293 2.551 Ac
0.843 -6.130 -0.332 Ac
1.054 -2.387 -0.609 Ac
-1.224 -4.056 2.577 Ac
2.347 -4.108 2.937 Ac
0.356 -7.872 2.963 Ac
0.280 -2.035 5.846 Ac
0.068 -5.778 6.123 Ac
3.444 -4.335 -0.442 Ir
2.987 -1.012 4.572 Ir
-2.655 -1.409 0.692 Tl

=====

LiPr2H12Rh3 GGA-PBE optimized geometry; energy = -4.436 eV/atom; spin magnetization = 0.067 μB per atom
1.0
-1.771 -4.368 3.650
-3.086 -4.429 -2.530
2.869 -5.196 -0.559
H Rh Pr Li
12 3 2 1
Cartesian
0.946 -7.277 -0.130 H
1.252 -4.255 -0.225 H
-1.813 -3.861 -1.239 H
-0.175 -10.133 1.800 H
-1.136 -3.829 1.942 H
-0.388 -7.171 -1.620 H
0.334 -7.138 1.772 H
-3.240 -9.738 0.785 H
-2.934 -6.717 0.690 H
-1.600 -6.822 2.180 H
-2.322 -6.856 -1.211 H
-0.852 -10.164 -1.382 H
-0.885 -2.184 1.825 Rh
-1.543 -2.215 -1.265 Rh
1.434 -2.598 -0.280 Rh
-0.753 -5.303 0.212 Pr
-1.235 -8.690 0.348 Pr
0.000 0.000 0.000 Li

=====

Be2HgPb GGA-PBE optimized geometry; spin magnetization = 0.000 μB per atom; E_form = 0.75 eV per atom; energy above the most stable polymorph in this dataset = 36.4 kJ per mole of atoms
1.0
3.526 0.000 0.000
0.000 5.610 0.000
0.000 0.000 3.869
Be Pb Hg
2 1 1
Cartesian
0.000 0.000 0.000 Be
1.763 2.805 0.000 Be
0.000 2.805 1.935 Pb
1.763 0.000 1.935 Hg

=====

LaCuRe2 GGA-PBE optimized geometry; spin magnetization = 0.000 μB per atom; E_form = 0.56 eV per atom; energy above the most stable polymorph in this dataset = 42.0 kJ per mole of atoms
1.0
-1.287 -0.675 2.442
2.531 -1.266 -0.263
4.127 7.377 4.214
La Cu Re
1 1 2
Cartesian
3.723 4.574 4.257 La
1.926 3.443 1.967 Cu
0.134 0.239 0.137 Re
1.650 0.868 2.140 Re

=====

What did the third record say?
Ac8TlIr2 GGA-PBE optimized geometry; spin magnetization = 0.000 μB per atom; E_form = -0.27 eV per atom
1.0
-5.309 -2.818 1.384
3.769 -6.695 -4.003
2.663 1.348 8.133
Ac Ir Tl
8 2 1
Cartesian
0.767 -0.293 2.551 Ac
0.843 -6.130 -0.332 Ac
1.054 -2.387 -0.609 Ac
-1.224 -4.056 2.577 Ac
2.347 -4.108 2.937 Ac
0.356 -7.872 2.963 Ac
0.280 -2.035 5.846 Ac
0.068 -5.778 6.123 Ac
3.444 -4.335 -0.442 Ir
2.987 -1.012 4.572 Ir
-2.655 -1.409 0.692 Tl